Record 1
Material: CeAlTe
Method: DFT, GGA-PBE
State: relaxed

Cell: 5.5956 4.2116 7.3243 Å, 90.00 112.46 90.00°
Closest atoms and distances in Å follow each position.
Sites, in units of the cell vectors:
Al (0.4387, 0.7500, 0.8773)  2 Al 2.68, 2 Te 2.90
Al (0.5613, 0.2500, 0.1227)  2 Al 2.68, 2 Te 2.90
Te (0.7082, 0.7500, 0.4164)  2 Al 2.90, 2 Ce 3.15
Te (0.2918, 0.2500, 0.5836)  2 Al 2.90, 2 Ce 3.15
Ce (0.8994, 0.2500, 0.7989)  4 Te 3.15-3.34, 2 Ce 3.44
Ce (0.1006, 0.7500, 0.2011)  4 Te 3.15-3.34, 2 Ce 3.44

Calculated values
E_tot   -0.1782 Ha/atom
Uncorrected formation energy   -0.5751 eV per atom

Record 2
Material: Ac12LaNi7
Method: DFT, GGA-PBE
State: relaxed

Cell: 9.4291 9.4291 9.4291 Å, 107.39 107.39 107.39°
Closest atoms and distances in Å follow each position.
Sites, in units of the cell vectors:
Ac (0.9280, 0.3130, 0.7781)  3 Ni 2.92-2.98
Ac (0.6870, 0.2219, 0.0720)  3 Ni 2.92-2.98
Ac (0.4538, 0.1557, 0.3792)  3 Ni 2.93-2.97
Ac (0.8443, 0.6208, 0.5462)  3 Ni 2.93-2.97
Ac (0.2219, 0.0720, 0.6870)  3 Ni 2.92-2.98
Ac (0.6208, 0.5462, 0.8443)  3 Ni 2.93-2.97
Ac (0.3792, 0.4538, 0.1557)  3 Ni 2.93-2.97
Ac (0.7781, 0.9280, 0.3130)  3 Ni 2.92-2.98
Ac (0.1557, 0.3792, 0.4538)  3 Ni 2.93-2.97
Ac (0.5462, 0.8443, 0.6208)  3 Ni 2.93-2.97
Ac (0.3130, 0.7781, 0.9280)  3 Ni 2.92-2.98
Ac (0.0720, 0.6870, 0.2219)  3 Ni 2.92-2.98
La (0.0000, 0.0000, 0.0000)  6 Ni 3.01
Ni (0.9657, 0.6527, 0.8841)  5 Ac 2.92-2.98, 1 La 3.01
Ni (0.3473, 0.1159, 0.0343)  5 Ac 2.92-2.98, 1 La 3.01
Ni (0.1159, 0.0343, 0.3473)  5 Ac 2.92-2.98, 1 La 3.01
Ni (0.5000, 0.5000, 0.5000)  6 Ac 2.95
Ni (0.8841, 0.9657, 0.6527)  5 Ac 2.92-2.98, 1 La 3.01
Ni (0.6527, 0.8841, 0.9657)  5 Ac 2.92-2.98, 1 La 3.01
Ni (0.0343, 0.3473, 0.1159)  5 Ac 2.92-2.98, 1 La 3.01

Calculated values
E_tot   -0.1796 Ha/atom
Energy relative to the elements   -14.7 kJ/mol of atoms

Record 3
Material: K4Rb3S
Method: DFT, GGA-PBE
State: relaxed

Cell: 8.6334 8.4481 14.2986 Å, 90.00 90.00 90.00°
Closest atoms and distances in Å follow each position.
Sites, in units of the cell vectors:
K (0.4056, 0.5000, 0.8632)  1 S 3.17
K (0.4056, 0.5000, 0.1368)  1 S 3.17
K (0.9588, 0.2515, 0.0000)  1 S 3.10
K (0.9588, 0.7485, 0.0000)  1 S 3.10
K (0.0412, 0.7515, 0.5000)  1 S 3.10
K (0.0412, 0.2485, 0.5000)  1 S 3.10
K (0.5944, 0.0000, 0.3632)  1 S 3.17
K (0.5944, 0.0000, 0.6368)  1 S 3.17
S (0.6948, 0.5000, 0.0000)  4 K 3.10-3.17, 2 Rb 3.44
S (0.3052, 0.0000, 0.5000)  4 K 3.10-3.17, 2 Rb 3.44
Rb (0.5187, 0.0000, 0.0000)  6 K 4.35-4.76, 2 S 4.49
Rb (0.4813, 0.5000, 0.5000)  6 K 4.35-4.76, 2 S 4.49
Rb (0.8307, 0.5000, 0.7740)  1 S 3.44
Rb (0.8307, 0.5000, 0.2260)  1 S 3.44
Rb (0.1693, 0.0000, 0.7260)  1 S 3.44
Rb (0.1693, 0.0000, 0.2740)  1 S 3.44

Calculated values
E_tot   -0.0633 Ha/atom
Uncorrected formation energy   -0.2963 eV per atom

Record 4
Material: Y2Pd9Pb
Method: DFT, GGA-PBE
State: relaxed

Cell: 4.1318 4.1318 12.3452 Å, 90.00 90.00 90.00°
Closest atoms and distances in Å follow each position.
Sites, in units of the cell vectors:
Y (0.0000, 0.0000, 0.3331)  12 Pd 2.92-2.93
Y (0.0000, 0.0000, 0.6669)  12 Pd 2.92-2.93
Pd (0.5000, 0.5000, 0.0000)  8 Pd 2.90, 4 Pb 2.92
Pd (0.5000, 0.5000, 0.3313)  8 Pd 2.91-2.93, 4 Y 2.92
Pd (0.5000, 0.5000, 0.6687)  8 Pd 2.91-2.93, 4 Y 2.92
Pd (0.5000, 0.0000, 0.1649)  2 Pb 2.90, 8 Pd 2.90-2.92, 2 Y 2.93
Pd (0.5000, 0.0000, 0.5000)  4 Y 2.92, 8 Pd 2.92-2.93
Pd (0.5000, 0.0000, 0.8351)  2 Pb 2.90, 8 Pd 2.90-2.92, 2 Y 2.93
Pd (0.0000, 0.5000, 0.1649)  2 Pb 2.90, 8 Pd 2.90-2.92, 2 Y 2.93
Pd (0.0000, 0.5000, 0.5000)  4 Y 2.92, 8 Pd 2.92-2.93
Pd (0.0000, 0.5000, 0.8351)  2 Pb 2.90, 8 Pd 2.90-2.92, 2 Y 2.93
Pb (0.0000, 0.0000, 0.0000)  12 Pd 2.90-2.92

Calculated values
E_tot   -0.2184 Ha/atom
Energy relative to the elements   -64.0 kJ/mol of atoms

Record 5
Material: TeC3
Method: DFT, GGA-PBE
State: relaxed

Cell: 10.4756 5.0386 5.7102 Å, 90.00 90.00 90.00°
Closest atoms and distances in Å follow each position.
Sites, in units of the cell vectors:
C (0.9878, 0.7412, 0.7500)  2 C 1.41
C (0.4878, 0.7588, 0.2500)  2 C 1.41
C (0.5122, 0.2412, 0.7500)  2 C 1.41
C (0.0122, 0.2588, 0.2500)  2 C 1.41
C (0.5091, 0.3666, 0.9701)  2 C 1.40-1.41
C (0.0091, 0.1334, 0.0299)  2 C 1.40-1.41
C (0.9909, 0.8666, 0.5299)  2 C 1.40-1.41
C (0.4909, 0.6334, 0.4701)  2 C 1.40-1.41
C (0.4909, 0.6334, 0.0299)  2 C 1.40-1.41
C (0.9909, 0.8666, 0.9701)  2 C 1.40-1.41
C (0.0091, 0.1334, 0.4701)  2 C 1.40-1.41
C (0.5091, 0.3666, 0.5299)  2 C 1.40-1.41
Te (0.4064, 0.8627, 0.7500)  3 C 2.16-2.21
Te (0.9064, 0.6373, 0.2500)  3 C 2.16-2.21
Te (0.0936, 0.3627, 0.7500)  3 C 2.16-2.21
Te (0.5936, 0.1373, 0.2500)  3 C 2.16-2.21

Calculated values
E_tot   -0.2476 Ha/atom
Uncorrected formation energy   0.9656 eV per atom
Relative energy among the computed polymorphs   0 meV/atom

Record 6
Material: HoS6F2
Method: DFT, GGA-PBE
State: relaxed

Cell: 3.5201 8.1292 9.0793 Å, 119.05 97.89 92.01°
Closest atoms and distances in Å follow each position.
Sites, in units of the cell vectors:
Ho (0.0000, 0.0000, 0.0000)  4 F 2.19-2.20
S (0.0691, 0.5259, 0.2393)  2 S 1.94-2.01
S (0.9309, 0.4741, 0.7607)  2 S 1.94-2.01
S (0.8428, 0.6648, 0.6820)  1 S 2.01
S (0.8263, 0.2146, 0.5745)  1 S 1.94
S (0.1737, 0.7854, 0.4255)  1 S 1.94
S (0.1572, 0.3352, 0.3180)  1 S 2.01
F (0.5190, 0.9006, 0.0787)  2 Ho 2.19-2.20
F (0.4810, 0.0994, 0.9213)  2 Ho 2.19-2.20

Calculated values
E_tot   -0.1783 Ha/atom
Uncorrected formation energy   -1.1753 eV per atom

Record 7
Material: HfAlAu
Method: DFT, GGA-PBE
State: relaxed

Cell: 3.1329 7.9595 4.4104 Å, 90.00 90.00 90.00°
Closest atoms and distances in Å follow each position.
Sites, in units of the cell vectors:
Hf (0.2960, 0.4229, 0.4556)  8 Au 3.04, 4 Al 3.10, 2 Hf 3.13
Hf (0.2960, 0.9229, 0.9556)  8 Al 3.00, 4 Au 3.03, 2 Hf 3.13
Au (0.7960, 0.5964, 0.9556)  2 Al 2.56, 1 Au 2.76
Au (0.7960, 0.2494, 0.9556)  2 Al 2.56, 1 Au 2.76
Al (0.7960, 0.7586, 0.4556)  2 Au 2.56, 1 Al 2.62
Al (0.7961, 0.0872, 0.4556)  2 Au 2.56, 1 Al 2.62

Calculated values
E_tot   -0.2263 Ha/atom
Energy relative to the elements   -48.2 kJ/mol of atoms

Record 8
Material: BeCrPd2
Method: DFT, GGA-PBE
State: relaxed

Cell: 3.7393 3.7393 8.5299 Å, 77.34 77.34 90.00°
Closest atoms and distances in Å follow each position.
Sites, in units of the cell vectors:
Cr (0.0000, 0.0000, 0.0000)  4 Pd 2.43, 4 Be 2.64
Cr (0.7500, 0.2500, 0.5000)  4 Pd 2.43, 4 Be 2.64
Pd (0.6186, 0.1250, 0.2500)  2 Be 2.41, 2 Cr 2.43, 4 Pd 2.61-2.68
Pd (0.1314, 0.6250, 0.2500)  2 Be 2.41, 2 Cr 2.43, 4 Pd 2.61-2.68
Pd (0.3750, 0.3814, 0.7500)  2 Be 2.41, 2 Cr 2.43, 4 Pd 2.61-2.68
Pd (0.8750, 0.8686, 0.7500)  2 Be 2.41, 2 Cr 2.43, 4 Pd 2.61-2.68
Be (0.5000, 0.5000, 0.0000)  4 Pd 2.41, 4 Cr 2.64
Be (0.2500, 0.7500, 0.5000)  4 Pd 2.41, 4 Cr 2.64

Calculated values
E_tot   -0.2029 Ha/atom
Energy relative to the elements   39.7 kJ/mol of atoms

Record 9
Material: ZnHgSbTe2
Method: DFT, GGA-PBE
State: relaxed

Cell: 5.7078 5.7078 5.5504 Å, 90.00 90.00 90.00°
Closest atoms and distances in Å follow each position.
Sites, in units of the cell vectors:
Sb (0.0000, 0.0000, 0.5000)  2 Hg 2.78
Zn (0.5000, 0.5000, 0.5000)  8 Te 3.98, 4 Sb 4.04
Te (0.0000, 0.5000, 0.0000)  2 Hg 2.85
Te (0.5000, 0.0000, 0.0000)  2 Hg 2.85
Hg (0.0000, 0.0000, 0.0000)  2 Sb 2.78, 4 Te 2.85

Calculated values
E_tot   -0.0595 Ha/atom
Uncorrected formation energy   0.7777 eV per atom
Relative energy among the computed polymorphs   346 meV/atom

Record 10
Material: Er2Sc3Pt4
Method: DFT, GGA-PBE
State: relaxed

Cell: 7.3797 7.2897 7.3631 Å, 90.00 90.00 110.52°
Closest atoms and distances in Å follow each position.
Sites, in units of the cell vectors:
Er (0.5671, 0.1918, 0.3253)  7 Pt 2.88-3.18
Er (0.9329, 0.8082, 0.8253)  7 Pt 2.88-3.18
Er (0.4329, 0.8082, 0.6747)  7 Pt 2.88-3.18
Er (0.0671, 0.1918, 0.1747)  7 Pt 2.88-3.18
Sc (0.0000, 0.5000, 0.5000)  6 Pt 2.84-2.90
Sc (0.5000, 0.5000, 0.0000)  6 Pt 2.84-2.90
Sc (0.7462, 0.2484, 0.8359)  6 Pt 2.71-2.88
Sc (0.7538, 0.7516, 0.3359)  6 Pt 2.71-2.88
Sc (0.2538, 0.7516, 0.1641)  6 Pt 2.71-2.88
Sc (0.2462, 0.2484, 0.6641)  6 Pt 2.71-2.88
Pt (0.8505, 0.0841, 0.5430)  4 Sc 2.71-2.88, 1 Pt 2.94, 1 Er 2.95
Pt (0.6495, 0.9159, 0.0430)  4 Sc 2.71-2.88, 1 Pt 2.94, 1 Er 2.95
Pt (0.1495, 0.9159, 0.4570)  4 Sc 2.71-2.88, 1 Pt 2.94, 1 Er 2.95
Pt (0.3505, 0.0841, 0.9570)  4 Sc 2.71-2.88, 1 Pt 2.94, 1 Er 2.95
Pt (0.8675, 0.4964, 0.1378)  5 Sc 2.72-2.90, 1 Pt 2.81, 1 Er 2.88
Pt (0.6325, 0.5036, 0.6378)  5 Sc 2.72-2.90, 1 Pt 2.81, 1 Er 2.88
Pt (0.1325, 0.5036, 0.8622)  5 Sc 2.72-2.90, 1 Pt 2.81, 1 Er 2.88
Pt (0.3675, 0.4964, 0.3622)  5 Sc 2.72-2.90, 1 Pt 2.81, 1 Er 2.88

Calculated values
E_tot   -0.2578 Ha/atom
Relative energy among the computed polymorphs   0 meV/atom
Energy relative to the elements   -116.3 kJ/mol of atoms

Record 11
Material: Ba2Re2F
Method: DFT, GGA-PBE
State: relaxed

Cell: 9.3135 9.3135 3.3609 Å, 90.00 90.00 90.00°
Closest atoms and distances in Å follow each position.
Sites, in units of the cell vectors:
Re (0.4168, 0.9168, 0.0000)  1 Re 2.19
Re (0.9168, 0.5832, 0.0000)  1 Re 2.19
Re (0.5832, 0.0832, 0.0000)  1 Re 2.19
Re (0.0832, 0.4168, 0.0000)  1 Re 2.19
Ba (0.1996, 0.6996, 0.5000)  6 Re 3.31-3.32, 2 Ba 3.36
Ba (0.6996, 0.8004, 0.5000)  6 Re 3.31-3.32, 2 Ba 3.36
Ba (0.8004, 0.3004, 0.5000)  6 Re 3.31-3.32, 2 Ba 3.36
Ba (0.3004, 0.1996, 0.5000)  6 Re 3.31-3.32, 2 Ba 3.36
F (0.0000, 0.0000, 0.0000)  2 F 3.36, 8 Ba 3.76
F (0.5000, 0.5000, 0.0000)  2 F 3.36, 8 Ba 3.76

Calculated values
E_tot   -0.2083 Ha/atom
Uncorrected formation energy   0.4547 eV per atom
Relative energy among the computed polymorphs   0 meV/atom

Record 12
Material: PaV2H8
Method: DFT, GGA-PBE
State: relaxed

Cell: 4.1706 4.1706 5.0132 Å, 90.00 90.00 90.00°
Closest atoms and distances in Å follow each position.
Sites, in units of the cell vectors:
Pa (0.5000, 0.5000, 0.5000)  8 H 2.19
V (0.5000, 0.0000, 0.0000)  8 H 1.81
V (0.0000, 0.5000, 0.0000)  8 H 1.81
H (0.7753, 0.7753, 0.2083)  2 V 1.81, 2 H 1.87
H (0.7753, 0.2247, 0.7917)  2 V 1.81, 2 H 1.87
H (0.7753, 0.7753, 0.7917)  2 V 1.81, 2 H 1.87
H (0.7753, 0.2247, 0.2083)  2 V 1.81, 2 H 1.87
H (0.2247, 0.7753, 0.2083)  2 V 1.81, 2 H 1.87
H (0.2247, 0.7753, 0.7917)  2 V 1.81, 2 H 1.87
H (0.2247, 0.2247, 0.2083)  2 V 1.81, 2 H 1.87
H (0.2247, 0.2247, 0.7917)  2 V 1.81, 2 H 1.87

Calculated values
E_tot   -0.1874 Ha/atom